The following is a PBE calculation of an optimized crystal structure of CePuSc3, from Alexandria via LeMat-Bulk.

Summary:
As for the space group: No. 59. The total energy is -7.499 eV per atom. The value obtained for the relative energy among the computed polymorphs is 15 meV per atom. The calculation puts the formation energy at 353 meV per atom. The value obtained for the density of states at the Fermi level is 17.32 states/eV/cell.

a = 5.067 Å, b = 5.824 Å, c = 9.306 Å
α = 90.00°, β = 90.00°, γ = 90.00°
Last column: magnetic moment on the atom in μB.
Fractional coordinates of all 10 atoms:
Pu 0.250 0.750 0.730  5.52
Pu 0.750 0.250 0.270  5.52
Sc 0.750 0.506 0.588  0.06
Sc 0.750 0.750 0.898  0.14
Sc 0.250 0.250 0.102  0.14
Sc 0.750 0.994 0.588  0.06
Sc 0.250 0.494 0.412  0.06
Sc 0.250 0.006 0.412  0.06
Ce 0.750 0.750 0.233  0.86
Ce 0.250 0.250 0.767  0.86

---

The following is a PBE calculation of an optimized crystal structure of NdPuThN3, from Alexandria via LeMat-Bulk.

Summary:
As for the space group: No. 11. The total energy is -9.778 eV per atom. The formation energy (no corrections) is -1195.6 meV per atom. The value obtained for the density of states at the Fermi level is 13.72 states/eV/cell.

a = 3.508 Å, b = 7.236 Å, c = 8.850 Å
α = 83.92°, β = 90.00°, γ = 90.00°
Last column: magnetic moment on the atom in μB.
Fractional coordinates of all 12 atoms:
N 0.750 0.373 0.102  0.01
N 0.750 0.843 0.140  -0.03
N 0.250 0.157 0.860  -0.03
N 0.250 0.627 0.898  0.01
N 0.750 0.113 0.404  -0.17
N 0.250 0.887 0.596  -0.17
Th 0.750 0.398 0.848  0.13
Th 0.250 0.602 0.152  0.13
Pu 0.750 0.810 0.453  5.04
Pu 0.250 0.190 0.547  5.04
Nd 0.750 0.893 0.843  0.06
Nd 0.250 0.107 0.157  0.06

---

The following is a PBE calculation of an optimized crystal structure of MnNi3Pt6, from Alexandria via LeMat-Bulk.

Summary:
As for the space group: No. 11. The total energy is -6.435 eV per atom. The calculation puts the formation energy at -159 meV per atom. The value obtained for the density of states at the Fermi level is 31.38 states/eV/cell.

a = 3.880 Å, b = 8.461 Å, c = 8.666 Å
α = 91.76°, β = 90.00°, γ = 90.00°
Last column: magnetic moment on the atom in μB.
Fractional coordinates of all 20 atoms:
Mn 0.250 0.945 0.605  3.66
Mn 0.750 0.055 0.395  3.66
Pt 0.250 0.154 0.205  0.21
Pt 0.750 0.846 0.795  0.21
Pt 0.250 0.258 0.509  0.26
Pt 0.250 0.636 0.693  0.27
Pt 0.750 0.742 0.491  0.26
Pt 0.750 0.364 0.307  0.27
Pt 0.750 0.155 0.701  0.27
Pt 0.250 0.057 0.902  0.24
Pt 0.250 0.456 0.100  0.34
Pt 0.750 0.544 0.900  0.34
Pt 0.750 0.943 0.098  0.24
Pt 0.250 0.845 0.299  0.27
Ni 0.750 0.449 0.605  0.72
Ni 0.250 0.349 0.806  0.79
Ni 0.750 0.651 0.194  0.79
Ni 0.250 0.745 0.999  0.71
Ni 0.250 0.551 0.395  0.72
Ni 0.750 0.255 0.001  0.71